Entry 1:
Below is a relaxed Dy4ZnGe3 crystal, with properties calculated at the PBE-GGA level.

Output
Calculated volume = 185.3 Å³/cell
Space group = Pmm2, No. 25
Raw total energy = -0.3630 Ry per atom
ΔH_f (0 K) = -0.747 eV/atom
N(E_F) = 0.81 states/eV/atom

Geometry as POSCAR:
```
Dy4ZnGe3
1.0
-0.1023 -3.4469 2.4664
0.3859 -2.3439 -3.2597
10.7802 0.3917 0.9947
Dy Ge Zn
4 3 1
Cartesian
9.4597 -0.8352 -0.7748
6.8319 -1.4734 1.8683
4.0517 -2.7534 -0.0359
1.5208 0.0553 0.1403
9.8717 -1.3629 2.1488
6.5114 -0.9424 -1.0469
4.4981 0.1634 0.4150
0.9427 -2.8663 -0.3228
```

---

Entry 2:
Below is a relaxed Dy2Zn5Ge crystal, with properties calculated at the PBE-GGA level.

Output
Calculated volume = 299.0 Å³/cell
Space group = Cmcm, No. 63
Raw total energy = -0.2187 Ry per atom
ΔH_f (0 K) = -0.452 eV/atom
N(E_F) = 0.43 states/eV/atom

Geometry as POSCAR:
```
Dy2Zn5Ge
1.0
-1.8157 -0.0809 -3.8732
7.5426 -3.0510 -1.1092
-3.0482 -8.1167 1.5985
Zn Dy Ge
10 4 2
Cartesian
-1.8279 -6.7645 -1.3649
0.6438 -6.0871 -0.1747
3.0450 -6.4178 -1.2935
-0.2292 -8.4117 0.2831
-0.3663 -4.8309 -2.0904
2.0349 -5.1615 -3.2092
4.5066 -4.4841 -2.0191
1.0105 -1.1647 -2.8124
1.6682 -10.0839 -0.5715
2.9079 -2.8370 -3.6670
0.0000 0.0000 0.0000
1.8776 -3.2591 -0.8122
-1.5241 -4.0584 0.7992
0.8011 -7.9895 -2.5718
3.6522 -8.8545 -1.5272
-0.9735 -2.3941 -1.8567
```

---

Entry 3:
Below is a relaxed Dy2ZnGe crystal, with properties calculated at the PBE-GGA level.

Output
Calculated volume = 89.5 Å³/cell
Space group = P4/mmm, No. 123
Raw total energy = -0.3171 Ry per atom
ΔH_f (0 K) = -0.540 eV/atom
N(E_F) = 0.46 states/eV/atom

Geometry as POSCAR:
```
Dy2ZnGe
1.0
3.6959 0.0000 0.0000
0.0000 4.9219 0.0000
0.0000 0.0000 4.9219
Zn Ge Dy
1 1 2
Cartesian
1.8479 0.0000 0.0000
1.8479 2.4610 2.4610
0.0000 0.0000 2.4610
0.0000 2.4610 0.0000
```

---

Entry 4:
Below is a relaxed DyZrGe crystal, with properties calculated at the PBE-GGA level.

Output
Calculated volume = 137.9 Å³/cell
Space group = I4/mmm, No. 139
Raw total energy = -0.4863 Ry per atom
ΔH_f (0 K) = -0.694 eV/atom
N(E_F) = 1.26 states/eV/atom

Geometry as POSCAR:
```
DyZrGe
1.0
4.0122 0.0000 -1.0463
-0.2728 4.0029 -1.0463
0.0838 0.0897 8.5374
Ge Dy Zr
2 2 2
Cartesian
3.3099 3.5432 4.4769
0.5132 0.5494 1.9680
1.2600 1.3488 4.8319
2.5631 2.7438 1.6130
-0.1364 2.0014 -0.5231
2.0061 0.0000 -0.5231
```

---

Entry 5:
Below is a relaxed DyZrGe crystal, with properties calculated at the PBE-GGA level.

Output
Calculated volume = 66.4 Å³/cell
Space group = I4mm, No. 107
Raw total energy = -0.4646 Ry per atom
ΔH_f (0 K) = -0.399 eV/atom
N(E_F) = 1.22 states/eV/atom

Geometry as POSCAR:
```
DyZrGe
1.0
3.7105 0.2495 0.0000
-0.2530 3.7103 0.0000
-1.7288 -1.9799 4.8023
Zr Dy Ge
1 1 1
Cartesian
1.7288 1.9799 1.8230
1.7288 1.9799 4.7213
0.0000 0.0000 3.0604
```

---

Entry 6:
Below is a relaxed DyH5 crystal, with properties calculated at the PBE-GGA level.

Output
Calculated volume = 41.6 Å³/cell
Space group = Cmmm, No. 65
Raw total energy = -0.2475 Ry per atom
N(E_F) = 0.15 states/eV/atom

Geometry as POSCAR:
```
DyH5
1.0
3.3623 0.0000 0.0000
0.0000 3.3940 0.0000
0.0000 -1.6970 3.6483
H Dy
5 1
Cartesian
1.6811 1.6970 0.0000
0.0000 1.6970 1.4489
0.0000 0.0000 2.1994
1.6811 1.6970 2.1000
1.6811 0.0000 1.5483
0.0000 0.0000 0.0000
```

---

Entry 7:
Below is a relaxed DyH crystal, with properties calculated at the PBE-GGA level.

Output
Calculated volume = 29.6 Å³/cell
Space group = Fm-3m, No. 225
Raw total energy = -0.3190 Ry per atom
N(E_F) = 0.73 states/eV/atom

Geometry as POSCAR:
```
DyH
1.0
-1.6095 -0.2613 -3.0649
-1.9296 -2.7962 -0.7145
-3.4564 0.2746 -0.1745
Dy H
1 1
Cartesian
-3.4977 -1.3914 -1.9769
0.0000 0.0000 0.0000
```

---

Entry 8:
Below is a relaxed Dy3H crystal, with properties calculated at the PBE-GGA level.

Output
Calculated volume = 95.4 Å³/cell
Space group = Imm2, No. 44
Raw total energy = -0.3154 Ry per atom
N(E_F) = 1.35 states/eV/atom

Geometry as POSCAR:
```
Dy3H
1.0
-1.3304 2.8747 -1.0763
1.2195 -1.4877 -5.4809
-4.3304 -2.8677 2.8929
Dy H
3 1
Cartesian
-0.2275 0.9033 -2.5054
-2.3502 -1.9648 -2.3427
-2.3784 0.8344 -0.0308
0.0527 -0.0643 -0.2370
```

---

Entry 9:
Below is a relaxed Dy2H5 crystal, with properties calculated at the PBE-GGA level.

Output
Calculated volume = 137.7 Å³/cell
Space group = Ibam, No. 72
Raw total energy = -0.3188 Ry per atom
N(E_F) = 0.14 states/eV/atom

Geometry as POSCAR:
```
Dy2H5
1.0
-3.1928 0.7917 3.5315
-0.5369 -5.2907 0.7006
5.8192 2.3195 1.4434
Dy H
4 10
Cartesian
2.8673 -1.3487 2.8947
0.5340 -4.0306 1.3863
1.5555 1.8512 4.2891
-0.7779 -0.8307 2.7807
-0.7332 -2.0174 4.7361
2.8226 -0.1621 0.9394
3.4684 1.8258 2.7265
0.5762 -0.8660 0.7151
-2.6631 -2.0516 2.9989
0.8632 -2.4132 2.9704
-1.0667 -2.4474 1.2332
-1.3790 -4.0052 2.9489
1.5132 -1.3134 4.9604
1.2262 0.2338 2.7051
```

---

Entry 10:
Below is a relaxed Dy4H crystal, with properties calculated at the PBE-GGA level.

Output
Calculated volume = 123.4 Å³/cell
Space group = Pm-3m, No. 221
Raw total energy = -0.3320 Ry per atom
N(E_F) = 0.92 states/eV/atom

Geometry as POSCAR:
```
Dy4H
1.0
-0.8136 4.8098 -0.9947
-1.4736 -1.2008 -4.6013
-4.6853 -0.4576 1.6199
H Dy
1 4
Cartesian
-3.4863 1.5757 -1.9880
-3.0794 -0.8292 -1.4907
0.0000 0.0000 0.0000
-2.7495 2.1761 0.3126
-1.1436 1.8045 -2.7980
```

---

Entry 11:
Below is a relaxed Dy8H crystal, with properties calculated at the PBE-GGA level.

Output
Calculated volume = 254.4 Å³/cell
Space group = P-3m1, No. 164
Raw total energy = -0.3332 Ry per atom
N(E_F) = 1.73 states/eV/atom

Geometry as POSCAR:
```
Dy8H
1.0
-0.7467 -1.1498 7.0864
5.2675 -3.3118 -3.6581
3.4583 4.3231 1.0659
Dy H
8 1
Cartesian
3.3557 0.8740 0.5115
2.6662 -1.6153 -1.8191
5.5884 -1.4054 2.1987
3.4599 4.3101 1.0800
2.9856 0.3041 4.0237
3.0898 3.7402 4.5922
6.0124 -0.7964 -1.3336
5.7005 2.0987 2.7791
1.4936 0.1455 2.0189
```

---

Entry 12:
Below is a relaxed Dy3HfH crystal, with properties calculated at the PBE-GGA level.

Output
Calculated volume = 113.3 Å³/cell
Space group = Pm-3m, No. 221
Raw total energy = -0.4022 Ry per atom
N(E_F) = 1.22 states/eV/atom

Geometry as POSCAR:
```
Dy3HfH
1.0
-2.1272 -3.6282 2.3938
2.5096 1.1508 3.9744
-3.5490 2.9884 1.3757
Dy H Hf
3 1 1
Cartesian
-1.0636 -1.8141 1.1969
1.2548 0.5754 1.9872
-1.7745 1.4942 0.6879
0.0000 0.0000 0.0000
-1.5833 0.2555 3.8719
```

---

Entry 13:
Below is a relaxed DyHf2H8 crystal, with properties calculated at the PBE-GGA level.

Output
Calculated volume = 87.0 Å³/cell
Space group = Immm, No. 71
Raw total energy = -0.3711 Ry per atom
N(E_F) = 0.20 states/eV/atom

Geometry as POSCAR:
```
DyHf2H8
1.0
-2.7883 1.0554 -1.1030
-0.7861 -4.9175 -2.7183
-0.4301 0.1363 5.7987
H Dy Hf
8 1 2
Cartesian
-0.2238 -1.4002 -0.7740
-1.2975 -0.0479 3.2342
-3.2182 -3.0893 0.5985
-3.7807 -2.3256 2.7514
-2.7071 -3.6779 -1.2567
-0.7864 -0.6365 1.3789
-2.3390 -1.3754 0.0161
-1.6655 -2.3504 1.9613
-1.3942 0.5277 -0.5515
-1.1534 -3.0742 -0.0259
-2.8511 -0.6516 2.0033
```

---

Entry 14:
Below is a relaxed DyHfH4 crystal, with properties calculated at the PBE-GGA level.

Output
Calculated volume = 59.4 Å³/cell
Space group = P4/mmm, No. 123
Raw total energy = -0.3870 Ry per atom
N(E_F) = 0.13 states/eV/atom

Geometry as POSCAR:
```
DyHfH4
1.0
3.3974 0.0001 0.0014
-0.0001 3.3974 0.0021
-0.0020 -0.0030 5.1502
H Dy Hf
4 1 1
Cartesian
1.7016 3.3860 3.7144
0.0029 1.6873 3.7129
1.7025 3.3874 1.4220
0.0038 1.6887 1.4204
1.7011 1.6865 5.1424
0.0034 3.3867 2.5676
```

---

Entry 15:
Below is a relaxed DyHf2H crystal, with properties calculated at the PBE-GGA level.

Output
Calculated volume = 78.0 Å³/cell
Space group = R-3m, No. 166
Raw total energy = -0.5015 Ry per atom
N(E_F) = 0.96 states/eV/atom

Geometry as POSCAR:
```
DyHf2H
1.0
-1.6691 -2.6627 -0.7430
1.4986 -2.8568 -0.1461
-1.7141 -3.1375 8.0765
Hf H Dy
2 1 1
Cartesian
-0.7617 -5.9824 2.0975
-1.1230 -2.6746 5.0899
-0.9423 -4.3285 3.5937
0.0000 0.0000 0.0000
```

---

Entry 16:
Below is a relaxed Dy3Hf5H12 crystal, with properties calculated at the PBE-GGA level.

Output
Calculated volume = 912.2 Å³/cell
Space group = Ia-3d, No. 230
Raw total energy = -0.4127 Ry per atom
N(E_F) = 0.31 states/eV/atom

Geometry as POSCAR:
```
Dy3Hf5H12
1.0
-2.8757 -1.9835 9.9888
-8.3782 -1.1071 -6.3687
7.5658 -6.8025 -2.9095
H Hf Dy
48 20 12
Cartesian
-3.3167 -1.3403 -1.5397
1.9698 -6.7375 -2.3205
-0.3714 -8.5528 2.2503
-3.8494 -4.7660 0.5314
-3.2666 -4.4798 3.9506
-5.4500 -6.5206 2.1673
-6.4085 -3.6194 5.2288
-0.4215 -5.4133 -3.2400
0.0749 -1.8028 -0.9106
0.1613 -5.1271 0.1792
-1.4768 -5.0376 5.4741
-2.3406 -2.3089 3.7554
4.3333 -5.2798 -0.9518
-0.1153 -5.6983 -5.6192
-3.7630 -8.0902 1.6211
-5.7118 -4.9035 -0.9249
-2.5005 -4.1004 -1.3588
-8.0213 -4.6133 1.6624
-5.6578 -3.1556 3.0311
3.2364 -7.7309 6.1527
1.4735 -6.2985 6.8225
-2.6568 -6.4323 -0.7478
1.7620 -3.3725 -1.4568
-3.5728 -4.1948 6.3297
-2.2112 -4.8555 -4.7635
-1.0313 -3.4608 1.4584
-4.5950 -6.7070 -2.0806
0.6300 -5.4623 3.5511
0.2399 -8.2160 -0.0127
-2.8309 -1.9581 6.0946
-0.8571 -7.9350 -5.3840
-0.6714 -2.8110 5.4279
2.0237 -4.9896 1.6355
-5.1616 -3.5946 -6.1119
-6.1643 -2.2013 -0.0246
-3.0166 -7.0821 -4.7173
2.7204 -6.2737 -4.5182
-4.3181 -4.4307 -2.8405
5.9568 -6.8393 -1.6869
-1.3475 -7.5842 -3.0448
-1.1876 -5.7926 2.0694
-6.9245 -2.1622 -5.4421
0.9069 -3.1861 2.7912
2.4762 -7.6918 0.7352
-5.5978 -1.6717 -2.2622
-3.9279 -1.6771 0.7233
-9.6449 -3.0537 2.3975
1.9097 -8.2214 2.9728
-1.6098 -2.3637 -1.8670
3.5487 -5.9841 0.7676
-2.0782 -7.5294 2.5776
0.8679 -5.1626 -1.7095
3.7829 -3.4012 -1.4548
-1.4378 -0.9918 4.9944
0.1178 -6.2639 5.3296
2.3451 -4.3930 3.5396
-3.8059 -3.6292 -4.6190
-4.5560 -4.7305 2.4201
-7.1041 -2.3149 -3.4391
-0.4062 -3.9548 -4.6391
0.0000 0.0000 0.0000
-2.2272 -1.8709 1.7899
-7.2368 -3.9090 -0.0570
-5.6269 -1.5453 1.8100
-4.1891 -0.5536 -3.1843
-1.4609 -8.0222 -1.0794
-1.8440 -4.9465 0.3553
3.4160 -7.5782 4.1497
-2.6334 -5.8257 -2.8492
0.7352 -6.7567 1.6726
1.0710 -3.1852 0.6100
0.6648 -7.1400 -4.0291
-4.7591 -6.7079 0.1005
4.1661 -6.4769 -2.8894
-4.4233 -3.1364 -0.9620
-2.0160 -6.3185 -6.5062
-4.3529 -2.7531 4.7396
-1.6720 -3.5746 7.2167
-7.8541 -3.4162 3.6000
-1.0547 -4.0674 3.5598
```

---

Entry 17:
Below is a relaxed Dy2HfH8 crystal, with properties calculated at the PBE-GGA level.

Output
Calculated volume = 93.8 Å³/cell
Space group = Immm, No. 71
Raw total energy = -0.3434 Ry per atom
N(E_F) = 0.18 states/eV/atom

Geometry as POSCAR:
```
Dy2HfH8
1.0
-3.3851 0.9500 -1.0385
-1.7000 -3.9789 1.9014
1.8162 4.0758 4.2791
H Dy Hf
8 2 1
Cartesian
-3.0075 0.1250 3.4467
-0.0846 2.7903 2.8281
-0.9340 0.8020 3.7783
-2.3348 0.2449 1.3638
-2.8724 1.9749 4.6986
-3.1843 -1.7433 2.3139
-0.3965 -0.9280 0.4435
-0.2614 0.9219 1.6954
-2.1755 2.1782 2.6131
-1.0933 -1.1313 2.5290
-1.6926 0.4750 -0.5192
```

---

Entry 18:
Below is a relaxed Dy5Hf3H12 crystal, with properties calculated at the PBE-GGA level.

Output
Calculated volume = 973.3 Å³/cell
Space group = Ia-3d, No. 230
Raw total energy = -0.3702 Ry per atom
N(E_F) = 0.50 states/eV/atom

Geometry as POSCAR:
```
Dy5Hf3H12
1.0
10.8134 0.0000 0.0000
-3.6045 10.1950 0.0000
-3.6045 -5.0975 8.8291
Dy Hf H
20 12 48
Cartesian
-1.8022 -2.5487 4.4146
3.6045 -2.5487 4.4146
0.9011 -2.5487 6.6218
1.8022 2.5487 4.4146
-0.9011 2.5487 2.2073
-0.9011 8.2834 1.1036
-1.8022 5.0975 0.0000
4.5056 -3.1859 7.7255
2.7034 7.6462 2.2073
5.4067 0.0000 0.0000
0.0000 0.0000 0.0000
-3.6045 2.5487 4.4146
-2.7034 5.7347 3.3109
4.5056 2.5487 6.6218
2.7034 1.9116 1.1036
-0.9011 0.6372 5.5182
3.6045 5.0975 0.0000
0.9011 3.1859 7.7255
6.3078 -0.6372 5.5182
4.5056 4.4603 3.3109
-4.5056 5.0975 6.6218
2.7034 0.0000 6.6218
6.3078 7.0091 1.1036
4.5056 0.6372 3.3109
-0.9011 4.4603 5.5182
2.7034 5.7347 5.5182
0.9011 -0.6372 3.3109
0.9011 5.0975 2.2073
-2.7034 1.9116 7.7255
6.3078 3.1859 1.1036
-2.7034 -1.9116 7.7255
8.1101 0.0000 2.2073
-0.0919 6.3120 0.5969
7.3008 5.1878 1.3502
1.1469 4.1312 5.7648
-0.6553 0.3781 2.0455
6.0620 -0.3781 2.0455
1.9745 -1.3109 5.1679
-2.9492 4.5093 5.1099
-0.5749 5.6289 3.8177
6.6340 -3.5719 7.3805
4.7514 5.6857 5.1099
1.7104 -1.1242 8.0758
5.5790 2.5823 2.9659
1.6300 6.4084 3.6612
-4.1794 3.0405 6.4601
3.6964 -1.2145 8.2323
-1.9745 2.5152 5.8632
-3.0295 8.6694 1.4487
-3.6964 -0.0903 7.4789
-1.7104 0.0903 7.4789
4.2598 4.7194 6.7836
-1.9745 -3.8262 8.1338
1.2273 0.5314 5.0114
2.4575 0.9663 3.0643
0.6553 6.0638 5.7648
-3.7767 7.6127 2.9659
4.1794 -0.5314 5.0114
4.8318 8.1380 2.3690
7.3812 -2.5152 5.8632
-1.2273 -3.0405 6.4601
0.1722 3.7866 3.6612
1.8941 3.8830 0.5969
-1.2273 3.5719 7.3805
4.8318 1.5256 1.4487
6.5537 0.5882 3.7193
-3.4322 3.8262 8.1338
-1.1469 -0.5882 3.7193
2.9492 -0.9663 3.0643
5.3148 5.0072 1.3502
1.7104 1.2145 8.2323
7.7839 2.0570 2.3690
1.8941 6.2217 0.7534
-2.4575 5.4756 6.7836
5.5790 8.9237 0.6953
3.6964 1.1242 8.0758
3.4322 1.3109 5.1679
7.0367 1.2713 0.6953
2.3772 4.5661 3.8177
-0.0919 3.9733 0.7534
```